(1)
# PBE BaCaMg2, optimized geometry
data_BaCaMg2
_chemical_formula_sum 'Ba3 Ca3 Mg6'
_cell_length_a 3.9179
_cell_length_b 3.9179
_cell_length_c 33.9176
_cell_angle_alpha 90.00
_cell_angle_beta 90.00
_cell_angle_gamma 120.00
_symmetry_space_group_name_H-M 'R 3 m'
_symmetry_Int_Tables_number 160
_symmetry_space_group_name_Hall 'R 3 -2"'
loop_
_atom_site_label
_atom_site_fract_x
_atom_site_fract_y
_atom_site_fract_z
_atom_site_occupancy
Ba1 0.0000 0.0000 0.0000 1
Ca1 0.0000 0.0000 0.2284 1
Mg1 0.0000 0.0000 0.4845 1
Mg2 0.0000 0.0000 0.7537 1
# - Formation energy from the elements: 0.1382 eV per atom



(2)
# PBE BaCa6Mg, optimized geometry
data_BaCa6Mg
_chemical_formula_sum 'Ba1 Ca6 Mg1'
_cell_length_a 5.368
_cell_length_b 5.368
_cell_length_c 13.091
_cell_angle_alpha 90.00
_cell_angle_beta 90.00
_cell_angle_gamma 90.00
_symmetry_space_group_name_H-M 'P 4/m m m'
_symmetry_Int_Tables_number 123
_symmetry_space_group_name_Hall '-P 4 2'
loop_
_atom_site_label
_atom_site_fract_x
_atom_site_fract_y
_atom_site_fract_z
_atom_site_occupancy
Ba1 0.000 0.000 0.000 1
Ca1 0.000 0.500 0.345 1
Ca2 0.500 0.500 0.138 1
Mg1 0.000 0.000 0.500 1
# - Formation energy from the elements: 0.2025 eV per atom



(3)
# PBE BaCa6Mg, optimized geometry
data_BaCa6Mg
_chemical_formula_sum 'Ba3 Ca18 Mg3'
_cell_length_a 6.1816
_cell_length_b 6.1816
_cell_length_c 30.0360
_cell_angle_alpha 90.00
_cell_angle_beta 90.00
_cell_angle_gamma 120.00
_symmetry_space_group_name_H-M 'R -3 m'
_symmetry_Int_Tables_number 166
_symmetry_space_group_name_Hall '-R 3 2"'
loop_
_atom_site_label
_atom_site_fract_x
_atom_site_fract_y
_atom_site_fract_z
_atom_site_occupancy
Ba1 0.0000 0.0000 0.0000 1
Ca1 0.0000 0.0000 0.1316 1
Ca2 0.0000 0.0000 0.2529 1
Ca3 0.0000 0.0000 0.3852 1
Mg1 0.0000 0.0000 0.5000 1
# - Formation energy from the elements: 0.0373 eV per atom



(4)
# PBE Ba3CaMg, optimized geometry
data_Ba3CaMg
_chemical_formula_sum 'Ba12 Ca4 Mg4'
_cell_length_a 6.389
_cell_length_b 24.802
_cell_length_c 6.364
_cell_angle_alpha 90.00
_cell_angle_beta 90.00
_cell_angle_gamma 90.00
_symmetry_space_group_name_H-M 'C m c m'
_symmetry_Int_Tables_number 63
_symmetry_space_group_name_Hall '-C 2c 2'
loop_
_atom_site_label
_atom_site_fract_x
_atom_site_fract_y
_atom_site_fract_z
_atom_site_occupancy
Ba1 0.000 0.064 0.250 1
Ba2 0.000 0.250 0.250 1
Ba3 0.000 0.435 0.250 1
Ca1 0.000 0.157 0.750 1
Mg1 0.000 0.341 0.750 1
# - Formation energy from the elements: 0.0326 eV per atom



(5)
# PBE BaCa4Mg, optimized geometry
data_BaCa4Mg
_chemical_formula_sum 'Ba1 Ca4 Mg1'
_cell_length_a 4.127
_cell_length_b 4.127
_cell_length_c 14.719
_cell_angle_alpha 90.00
_cell_angle_beta 90.00
_cell_angle_gamma 90.00
_symmetry_space_group_name_H-M 'P 4/m m m'
_symmetry_Int_Tables_number 123
_symmetry_space_group_name_Hall '-P 4 2'
loop_
_atom_site_label
_atom_site_fract_x
_atom_site_fract_y
_atom_site_fract_z
_atom_site_occupancy
Ba1 0.000 0.000 0.000 1
Ca1 0.000 0.000 0.374 1
Ca2 0.500 0.500 0.205 1
Mg1 0.500 0.500 0.500 1
# - Formation energy from the elements: -0.0018 eV per atom



(6)
# PBE Ba2Ca9Mg6, optimized geometry
data_Ba2Ca9Mg6
_chemical_formula_sum 'Ba2 Ca9 Mg6'
_cell_length_a 7.3946
_cell_length_b 7.3946
_cell_length_c 16.1353
_cell_angle_alpha 90.00
_cell_angle_beta 90.00
_cell_angle_gamma 120.00
_symmetry_space_group_name_H-M 'P 6/m m m'
_symmetry_Int_Tables_number 191
_symmetry_space_group_name_Hall '-P 6 2'
loop_
_atom_site_label
_atom_site_fract_x
_atom_site_fract_y
_atom_site_fract_z
_atom_site_occupancy
Ba1 0.0000 0.0000 0.1614 1
Ca1 0.0000 0.5000 0.0000 1
Ca2 0.0000 0.5000 0.3338 1
Mg1 0.3333 0.6667 0.1676 1
Mg2 0.3333 0.6667 0.5000 1
# - Formation energy from the elements: 0.1699 eV per atom



(7)
# PBE Ba2Ca3Mg2, optimized geometry
data_Ba2Ca3Mg2
_chemical_formula_sum 'Ba4 Ca6 Mg4'
_cell_length_a 4.278
_cell_length_b 33.927
_cell_length_c 4.074
_cell_angle_alpha 90.00
_cell_angle_beta 90.00
_cell_angle_gamma 90.00
_symmetry_space_group_name_H-M 'C m m m'
_symmetry_Int_Tables_number 65
_symmetry_space_group_name_Hall '-C 2 2'
loop_
_atom_site_label
_atom_site_fract_x
_atom_site_fract_y
_atom_site_fract_z
_atom_site_occupancy
Ba1 0.000 0.192 0.000 1
Ca1 0.000 0.073 0.000 1
Ca2 0.000 0.500 0.500 1
Mg1 0.000 0.377 0.500 1
# - Formation energy from the elements: -0.0068 eV per atom



(8)
# PBE Ba3Ca4Mg, optimized geometry
data_Ba3Ca4Mg
_chemical_formula_sum 'Ba3 Ca4 Mg1'
_cell_length_a 4.189
_cell_length_b 4.189
_cell_length_c 21.490
_cell_angle_alpha 90.00
_cell_angle_beta 90.00
_cell_angle_gamma 90.00
_symmetry_space_group_name_H-M 'P 4/m m m'
_symmetry_Int_Tables_number 123
_symmetry_space_group_name_Hall '-P 4 2'
loop_
_atom_site_label
_atom_site_fract_x
_atom_site_fract_y
_atom_site_fract_z
_atom_site_occupancy
Ba1 0.000 0.000 0.000 1
Ba2 0.000 0.000 0.277 1
Ca1 0.500 0.500 0.138 1
Ca2 0.500 0.500 0.415 1
Mg1 0.000 0.000 0.500 1
# - Formation energy from the elements: 0.0235 eV per atom



(9)
# PBE Ba5CaMg, optimized geometry
data_Ba5CaMg
_chemical_formula_sum 'Ba20 Ca4 Mg4'
_cell_length_a 15.007
_cell_length_b 7.981
_cell_length_c 13.362
_cell_angle_alpha 90.00
_cell_angle_beta 103.86
_cell_angle_gamma 90.00
_symmetry_space_group_name_H-M 'C 1 2/c 1'
_symmetry_Int_Tables_number 15
_symmetry_space_group_name_Hall '-C 2yc'
loop_
_atom_site_label
_atom_site_fract_x
_atom_site_fract_y
_atom_site_fract_z
_atom_site_occupancy
Ba1 0.000 0.223 0.250 1
Ba2 0.134 0.112 0.543 1
Ba3 0.225 0.379 0.151 1
Ca1 0.000 0.298 0.750 1
Mg1 0.000 0.500 0.000 1
# - Formation energy from the elements: 0.1294 eV per atom



(10)
# PBE BaCa2Mg2, optimized geometry
data_BaCa2Mg2
_chemical_formula_sum 'Ba2 Ca4 Mg4'
_cell_length_a 9.817
_cell_length_b 9.817
_cell_length_c 3.770
_cell_angle_alpha 90.00
_cell_angle_beta 90.00
_cell_angle_gamma 90.00
_symmetry_space_group_name_H-M 'P 4/m b m'
_symmetry_Int_Tables_number 127
_symmetry_space_group_name_Hall '-P 4 2ab'
loop_
_atom_site_label
_atom_site_fract_x
_atom_site_fract_y
_atom_site_fract_z
_atom_site_occupancy
Ba1 0.000 0.000 0.000 1
Ca1 0.128 0.372 0.000 1
Mg1 0.166 0.666 0.500 1
# - Formation energy from the elements: -0.0207 eV per atom



(11)
# PBE Ba4CaMg, optimized geometry
data_Ba4CaMg
_chemical_formula_sum 'Ba16 Ca4 Mg4'
_cell_length_a 10.916
_cell_length_b 10.916
_cell_length_c 10.916
_cell_angle_alpha 90.00
_cell_angle_beta 90.00
_cell_angle_gamma 90.00
_symmetry_space_group_name_H-M 'F -4 3 m'
_symmetry_Int_Tables_number 216
_symmetry_space_group_name_Hall 'F -4 2 3'
loop_
_atom_site_label
_atom_site_fract_x
_atom_site_fract_y
_atom_site_fract_z
_atom_site_occupancy
Ba1 0.124 0.124 0.376 1
Ca1 0.000 0.000 0.000 1
Mg1 0.250 0.250 0.750 1
# - Formation energy from the elements: 0.3168 eV per atom



(12)
# PBE BaCaMg2, optimized geometry
data_BaCaMg2
_chemical_formula_sum 'Ba3 Ca3 Mg6'
_cell_length_a 3.9202
_cell_length_b 3.9202
_cell_length_c 33.6218
_cell_angle_alpha 90.00
_cell_angle_beta 90.00
_cell_angle_gamma 120.00
_symmetry_space_group_name_H-M 'R -3 m'
_symmetry_Int_Tables_number 166
_symmetry_space_group_name_Hall '-R 3 2"'
loop_
_atom_site_label
_atom_site_fract_x
_atom_site_fract_y
_atom_site_fract_z
_atom_site_occupancy
Ba1 0.0000 0.0000 0.0000 1
Ca1 0.0000 0.0000 0.5000 1
Mg1 0.0000 0.0000 0.2452 1
# - Formation energy from the elements: 0.1257 eV per atom



(13)
# PBE Ba8CaMg2, optimized geometry
data_Ba8CaMg2
_chemical_formula_sum 'Ba16 Ca2 Mg4'
_cell_length_a 6.299
_cell_length_b 10.740
_cell_length_c 17.313
_cell_angle_alpha 90.00
_cell_angle_beta 90.00
_cell_angle_gamma 90.00
_symmetry_space_group_name_H-M 'I m m m'
_symmetry_Int_Tables_number 71
_symmetry_space_group_name_Hall '-I 2 2'
loop_
_atom_site_label
_atom_site_fract_x
_atom_site_fract_y
_atom_site_fract_z
_atom_site_occupancy
Ba1 0.000 0.000 0.141 1
Ba2 0.000 0.210 0.338 1
Ba3 0.000 0.320 0.000 1
Ca1 0.000 0.500 0.500 1
Mg1 0.000 0.500 0.203 1
# - Formation energy from the elements: 0.0454 eV per atom



(14)
# PBE BaCaMg2, optimized geometry
data_BaCaMg2
_chemical_formula_sum 'Ba1 Ca1 Mg2'
_cell_length_a 4.019
_cell_length_b 4.019
_cell_length_c 9.118
_cell_angle_alpha 90.00
_cell_angle_beta 90.00
_cell_angle_gamma 90.00
_symmetry_space_group_name_H-M 'P 4 m m'
_symmetry_Int_Tables_number 99
_symmetry_space_group_name_Hall 'P 4 -2'
loop_
_atom_site_label
_atom_site_fract_x
_atom_site_fract_y
_atom_site_fract_z
_atom_site_occupancy
Ba1 0.000 0.000 0.000 1
Ca1 0.500 0.500 0.354 1
Mg1 0.000 0.000 0.573 1
Mg2 0.500 0.500 0.733 1
# - Formation energy from the elements: 0.0041 eV per atom



(15)
# PBE BaCa6Mg2, optimized geometry
data_BaCa6Mg2
_chemical_formula_sum 'Ba2 Ca12 Mg4'
_cell_length_a 14.103
_cell_length_b 4.043
_cell_length_c 13.236
_cell_angle_alpha 90.00
_cell_angle_beta 108.52
_cell_angle_gamma 90.00
_symmetry_space_group_name_H-M 'C 1 2/m 1'
_symmetry_Int_Tables_number 12
_symmetry_space_group_name_Hall '-C 2y'
loop_
_atom_site_label
_atom_site_fract_x
_atom_site_fract_y
_atom_site_fract_z
_atom_site_occupancy
Ba1 0.000 0.000 0.000 1
Ca1 0.017 0.000 0.334 1
Ca2 0.178 0.500 0.575 1
Ca3 0.193 0.500 0.869 1
Mg1 0.163 0.500 0.236 1
# - Formation energy from the elements: -0.0100 eV per atom



(16)
# PBE BaCaMg2, optimized geometry
data_BaCaMg2
_chemical_formula_sum 'Ba2 Ca2 Mg4'
_cell_length_a 11.377
_cell_length_b 3.822
_cell_length_c 7.152
_cell_angle_alpha 90.00
_cell_angle_beta 100.22
_cell_angle_gamma 90.00
_symmetry_space_group_name_H-M 'C 1 2/m 1'
_symmetry_Int_Tables_number 12
_symmetry_space_group_name_Hall '-C 2y'
loop_
_atom_site_label
_atom_site_fract_x
_atom_site_fract_y
_atom_site_fract_z
_atom_site_occupancy
Ba1 0.000 0.000 0.000 1
Ca1 0.000 0.500 0.500 1
Mg1 0.245 0.000 0.691 1
# - Formation energy from the elements: 0.0877 eV per atom



(17)
# PBE Ba6Ca3Mg, optimized geometry
data_Ba6Ca3Mg
_chemical_formula_sum 'Ba12 Ca6 Mg2'
_cell_length_a 11.153
_cell_length_b 6.769
_cell_length_c 14.852
_cell_angle_alpha 90.00
_cell_angle_beta 111.30
_cell_angle_gamma 90.00
_symmetry_space_group_name_H-M 'P 1 21/m 1'
_symmetry_Int_Tables_number 11
_symmetry_space_group_name_Hall '-P 2yb'
loop_
_atom_site_label
_atom_site_fract_x
_atom_site_fract_y
_atom_site_fract_z
_atom_site_occupancy
Ba1 0.023 0.250 0.423 1
Ba2 0.177 0.750 0.165 1
Ba3 0.266 0.250 0.011 1
Ba4 0.344 0.250 0.331 1
Ba5 0.359 0.750 0.807 1
Ba6 0.416 0.250 0.642 1
Ca1 0.040 0.750 0.873 1
Ca2 0.103 0.250 0.724 1
Ca3 0.268 0.750 0.471 1
Mg1 0.458 0.750 0.086 1
# - Formation energy from the elements: 0.0313 eV per atom



(18)
# PBE BaCa3Mg2, optimized geometry
data_BaCa3Mg2
_chemical_formula_sum 'Ba1 Ca3 Mg2'
_cell_length_a 4.030
_cell_length_b 4.030
_cell_length_c 14.112
_cell_angle_alpha 90.00
_cell_angle_beta 90.00
_cell_angle_gamma 90.00
_symmetry_space_group_name_H-M 'P 4/m m m'
_symmetry_Int_Tables_number 123
_symmetry_space_group_name_Hall '-P 4 2'
loop_
_atom_site_label
_atom_site_fract_x
_atom_site_fract_y
_atom_site_fract_z
_atom_site_occupancy
Ba1 0.000 0.000 0.000 1
Ca1 0.500 0.500 0.225 1
Ca2 0.500 0.500 0.500 1
Mg1 0.000 0.000 0.364 1
# - Formation energy from the elements: -0.0307 eV per atom



(19)
# PBE BaCa4Mg5, optimized geometry
data_BaCa4Mg5
_chemical_formula_sum 'Ba1 Ca4 Mg5'
_cell_length_a 4.021
_cell_length_b 4.021
_cell_length_c 20.439
_cell_angle_alpha 90.00
_cell_angle_beta 90.00
_cell_angle_gamma 90.00
_symmetry_space_group_name_H-M 'P 4/m m m'
_symmetry_Int_Tables_number 123
_symmetry_space_group_name_Hall '-P 4 2'
loop_
_atom_site_label
_atom_site_fract_x
_atom_site_fract_y
_atom_site_fract_z
_atom_site_occupancy
Ba1 0.000 0.000 0.000 1
Ca1 0.000 0.000 0.214 1
Ca2 0.000 0.000 0.404 1
Mg1 0.500 0.500 0.120 1
Mg2 0.500 0.500 0.309 1
Mg3 0.500 0.500 0.500 1
# - Formation energy from the elements: -0.0695 eV per atom



(20)
# PBE Ba2Ca2Mg, optimized geometry
data_Ba2Ca2Mg
_chemical_formula_sum 'Ba4 Ca4 Mg2'
_cell_length_a 9.247
_cell_length_b 9.247
_cell_length_c 5.848
_cell_angle_alpha 90.00
_cell_angle_beta 90.00
_cell_angle_gamma 90.00
_symmetry_space_group_name_H-M 'P 4/m b m'
_symmetry_Int_Tables_number 127
_symmetry_space_group_name_Hall '-P 4 2ab'
loop_
_atom_site_label
_atom_site_fract_x
_atom_site_fract_y
_atom_site_fract_z
_atom_site_occupancy
Ba1 0.146 0.354 0.000 1
Ca1 0.161 0.661 0.500 1
Mg1 0.000 0.000 0.000 1
# - Formation energy from the elements: 0.2675 eV per atom